A relaxed Hf2TeW crystal, computed with GGA-PBE.

Summary:
**Formation energy without anion corrections**: 0.5882 eV per atom
**Magnetic moment**: 0.000 μB per formula unit

abc: 3.0941 3.0941 10.5141
angles: 81.54 81.54 60.00
Positions (direct):
1 Hf 0.0868 0.0868 0.7395
2 Te 0.5000 0.5000 0.5000
3 Hf 0.9132 0.9132 0.2605
4 W 0.0000 0.0000 0.0000